! Y2MnAsC | the Alexandria database | PBE | relaxed; values from VASP
&SYSTEM
  ibrav = 0, nat = 5, ntyp = 4
/
ATOMIC_SPECIES
Y 88.91 Y.upf
Mn 54.94 Mn.upf
As 74.92 As.upf
C 12.01 C.upf
CELL_PARAMETERS angstrom
4.966 0.000 0.000
0.000 4.966 0.000
0.000 0.000 3.809
ATOMIC_POSITIONS angstrom
Y 0.000 2.483 0.000
Y 2.483 0.000 0.000
Mn 0.000 0.000 1.904
As 2.483 2.483 1.904
C 0.000 0.000 0.000
! **Energy of formation from the pure elements**: -0.550 eV/atom
! **Spin magnetization**: 2.22 μB per formula unit
! **Space-group type**: P4/mmm
! **E_tot**: -38.7 eV per cell

! ZrMn2AsC | the Alexandria database | PBE | relaxed; values from VASP
&SYSTEM
  ibrav = 0, nat = 5, ntyp = 4
/
ATOMIC_SPECIES
Zr 91.22 Zr.upf
Mn 54.94 Mn.upf
As 74.92 As.upf
C 12.01 C.upf
CELL_PARAMETERS angstrom
4.980 0.000 0.000
0.000 4.980 0.000
0.000 0.000 5.038
ATOMIC_POSITIONS angstrom
Zr 0.000 0.000 0.000
Mn 0.000 2.490 0.000
Mn 2.490 0.000 0.000
As 0.000 0.000 2.519
C 2.490 2.490 2.519
! **Energy of formation from the pure elements**: 2.285 eV/atom
! **Spin magnetization**: 6.00 μB per formula unit
! **Space-group type**: P4/mmm
! **E_tot**: -29.3 eV per cell

! MoAs3C | the Alexandria database | PBE | relaxed; values from VASP
&SYSTEM
  ibrav = 0, nat = 5, ntyp = 3
/
ATOMIC_SPECIES
Mo 95.94 Mo.upf
As 74.92 As.upf
C 12.01 C.upf
CELL_PARAMETERS angstrom
4.284 0.000 0.000
0.000 4.284 0.000
0.000 0.000 4.284
ATOMIC_POSITIONS angstrom
Mo 0.000 0.000 0.000
As 0.000 2.142 2.142
As 2.142 0.000 2.142
As 2.142 2.142 0.000
C 2.142 2.142 2.142
! **Energy of formation from the pure elements**: 1.182 eV/atom
! **Spin magnetization**: 1.62 μB per formula unit
! **E above lowest polymorph**: 0.000 eV per atom
! **Space-group type**: Pm-3m
! **E_tot**: -28.1 eV per cell

! Mo3AsC | the Alexandria database | PBE | relaxed; values from VASP
&SYSTEM
  ibrav = 0, nat = 5, ntyp = 3
/
ATOMIC_SPECIES
Mo 95.94 Mo.upf
As 74.92 As.upf
C 12.01 C.upf
CELL_PARAMETERS angstrom
4.151 0.000 0.000
0.000 4.151 0.000
0.000 0.000 4.151
ATOMIC_POSITIONS angstrom
Mo 0.000 0.000 2.076
Mo 0.000 2.076 0.000
Mo 2.076 0.000 0.000
As 2.076 2.076 2.076
C 0.000 0.000 0.000
! **Energy of formation from the pure elements**: 0.278 eV/atom
! **Spin magnetization**: 0.00 μB per formula unit
! **E above lowest polymorph**: 0.000 eV per atom
! **Space-group type**: Pm-3m
! **E_tot**: -45.0 eV per cell

! MoAs3C | the Alexandria database | PBE | relaxed; values from VASP
&SYSTEM
  ibrav = 0, nat = 5, ntyp = 3
/
ATOMIC_SPECIES
Mo 95.94 Mo.upf
As 74.92 As.upf
C 12.01 C.upf
CELL_PARAMETERS angstrom
4.851 0.000 0.000
0.000 4.851 0.000
0.000 0.000 4.851
ATOMIC_POSITIONS angstrom
Mo 0.000 0.000 0.000
As 0.000 0.000 2.425
As 0.000 2.425 0.000
As 2.425 0.000 0.000
C 2.425 2.425 2.425
! **Energy of formation from the pure elements**: 1.637 eV/atom
! **Spin magnetization**: 1.37 μB per formula unit
! **E above lowest polymorph**: 0.455 eV per atom
! **Space-group type**: Pm-3m
! **E_tot**: -25.8 eV per cell

! Mo4AsC | the Alexandria database | PBE | relaxed; values from VASP
&SYSTEM
  ibrav = 0, nat = 12, ntyp = 3
/
ATOMIC_SPECIES
Mo 95.94 Mo.upf
As 74.92 As.upf
C 12.01 C.upf
CELL_PARAMETERS angstrom
6.255 -2.570 0.000
6.255 2.570 0.000
-1.619 0.000 5.381
ATOMIC_POSITIONS angstrom
Mo 0.486 0.432 2.400
Mo -0.323 -0.432 5.090
Mo 2.394 0.489 4.679
Mo 3.204 -0.489 1.988
Mo 7.687 0.489 3.393
Mo 8.497 -0.489 0.702
Mo 11.215 0.432 0.291
Mo 10.405 -0.432 2.982
As 5.850 0.668 1.345
As 5.041 -0.668 4.036
C 2.318 1.285 2.691
C 3.128 -1.285 0.000
! **Energy of formation from the pure elements**: 0.034 eV/atom
! **Spin magnetization**: 0.00 μB per formula unit
! **Space-group type**: C2/c
! **E_tot**: -114.0 eV per cell